No. 1
## Tb2Tl4Ag (PBE)

Data for a relaxed Tb2Tl4Ag crystal.

Output
Calculated total energy (eV per atom): -3.085
Magnetization (μB per atom): 0.0000
Energy of formation (kJ/mol of atoms): 0
Symmetry: No. 69

Lattice parameters (Å, degrees): 9.7351 6.5144 7.0862 117.36 90.00 90.00
Last column: nearest neighbours and their distance in Å.
Fractional positions:
1 Tl 0.7501 0.7497 0.0000  2 Ag 2.93, 4 Tl 3.15-3.26
2 Tl 0.7500 0.5001 0.5000  4 Tl 3.15-3.26, 4 Tb 3.22
3 Tl 0.7500 0.0001 0.5000  4 Tl 3.15-3.26, 4 Tb 3.22
4 Tl 0.7499 0.2497 0.0000  2 Ag 2.93, 4 Tl 3.15-3.26
5 Tl 0.2501 0.7503 0.0000  2 Ag 2.93, 4 Tl 3.15-3.26
6 Tl 0.2500 0.9999 0.5000  4 Tl 3.15-3.26, 4 Tb 3.22
7 Tl 0.2500 0.4999 0.5000  4 Tl 3.15-3.26, 4 Tb 3.22
8 Tl 0.2499 0.2503 0.0000  2 Ag 2.93, 4 Tl 3.15-3.26
9 Tb 0.0000 0.6444 0.2889  8 Tl 3.22-3.45
10 Tb 0.0000 0.3556 0.7111  8 Tl 3.22-3.45
11 Tb 0.5000 0.8556 0.7111  8 Tl 3.22-3.45
12 Tb 0.5000 0.1444 0.2889  8 Tl 3.22-3.45
13 Ag 0.0000 0.0000 0.0000  4 Tl 2.93
14 Ag 0.5000 0.5000 0.0000  4 Tl 2.93



No. 2
## Pm5TlCo2 (PBE)

Data for a relaxed Pm5TlCo2 crystal.

Output
Calculated total energy (eV per atom): -5.205
Magnetization (μB per atom): 0.0000
Energy of formation (kJ/mol of atoms): -16
Symmetry: No. 140

Lattice parameters (Å, degrees): 7.7992 7.7992 8.8793 116.05 116.05 90.00
Last column: nearest neighbours and their distance in Å.
Fractional positions:
1 Pm 0.5318 0.7076 0.7394  3 Co 2.91-2.93
2 Pm 0.7924 0.9682 0.2606  3 Co 2.91-2.93
3 Pm 0.0000 0.0000 0.0000  4 Co 3.05
4 Pm 0.5000 0.5000 0.0000  4 Co 3.05
5 Pm 0.2076 0.0318 0.7394  3 Co 2.91-2.93
6 Pm 0.7076 0.2076 0.7394  3 Co 2.91-2.93
7 Pm 0.0318 0.5318 0.7394  3 Co 2.91-2.93
8 Pm 0.2924 0.7924 0.2606  3 Co 2.91-2.93
9 Pm 0.9682 0.4682 0.2606  3 Co 2.91-2.93
10 Pm 0.4682 0.2924 0.2606  3 Co 2.91-2.93
11 Tl 0.7500 0.7500 0.5000  10 Pm 3.36-3.48
12 Tl 0.2500 0.2500 0.5000  10 Pm 3.36-3.48
13 Co 0.1321 0.3679 0.0000  8 Pm 2.91-3.05, 1 Co 2.91
14 Co 0.6321 0.1321 0.0000  8 Pm 2.91-3.05, 1 Co 2.91
15 Co 0.3679 0.8679 0.0000  8 Pm 2.91-3.05, 1 Co 2.91
16 Co 0.8679 0.6321 0.0000  8 Pm 2.91-3.05, 1 Co 2.91



No. 3
## LaScCl2 (PBE)

Data for a relaxed LaScCl2 crystal.

Output
Formation energy (no corrections) (eV per formula unit): -4.9
Calculated total energy (eV per atom): -4.961
Magnetization (μB per atom): 0.0037
Symmetry: No. 47

Lattice parameters (Å, degrees): 4.2797 3.5527 6.2572 89.98 90.00 90.00
Last column: nearest neighbours and their distance in Å.
Fractional positions:
1 Sc 0.5000 0.7500 0.7500  4 Cl 2.67
2 Cl 0.0000 0.7510 0.0057  2 Sc 2.67
3 Cl 0.0000 0.7490 0.4943  2 Sc 2.67
4 La 0.5000 0.2500 0.2500  8 Cl 3.17-3.18



No. 4
## K2BaY (PBE)

Data for a relaxed K2BaY crystal.

Output
Calculated total energy (eV per atom): -2.382
Magnetization (μB per atom): 0.2952
Energy of formation (kJ/mol of atoms): 25
Symmetry: No. 160

Lattice parameters (Å, degrees): 14.7801 14.7801 14.7801 15.98 15.98 15.98
Last column: nearest neighbours and their distance in Å.
Fractional positions:
1 Ba 0.7595 0.7595 0.7595  3 Y 3.87, 6 Ba 4.11
2 K 0.0026 0.0026 0.0026  6 K 4.11
3 K 0.2417 0.2417 0.2417  6 K 4.11, 3 Y 4.19
4 Y 0.4962 0.4962 0.4962  3 Ba 3.87, 6 Y 4.11, 3 K 4.19



No. 5
## EuScFe4 (PBE)

Data for a relaxed EuScFe4 crystal.

Output
Calculated total energy (eV per atom): -8.301
Magnetization (μB per atom): 2.2633
Energy of formation (kJ/mol of atoms): 10
Symmetry: No. 216

Lattice parameters (Å, degrees): 5.0640 5.0640 5.0640 60.00 60.00 60.00
Last column: nearest neighbours and their distance in Å.
Fractional positions:
1 Eu 0.0000 0.0000 0.0000  12 Fe 2.97, 4 Sc 3.10
2 Sc 0.2500 0.2500 0.2500  12 Fe 2.97, 4 Eu 3.10
3 Fe 0.6247 0.6247 0.1258  6 Fe 2.53-2.54
4 Fe 0.6247 0.1258 0.6247  6 Fe 2.53-2.54
5 Fe 0.6247 0.6247 0.6247  6 Fe 2.53-2.54
6 Fe 0.1258 0.6247 0.6247  6 Fe 2.53-2.54



No. 6
## PmMg2InAu4 (PBE)

Data for a relaxed PmMg2InAu4 crystal.

Output
Calculated total energy (eV per atom): -3.541
Magnetization (μB per atom): 0.0000
Energy of formation (kJ/mol of atoms): -55
Symmetry: No. 166

Lattice parameters (Å, degrees): 4.6797 4.6797 9.3116 75.45 75.45 60.00
Last column: nearest neighbours and their distance in Å.
Fractional positions:
1 Pm 0.0000 0.0000 0.0000  8 Au 3.10-3.22
2 Mg 0.7574 0.7574 0.7279  6 Au 2.82-2.85
3 Mg 0.2426 0.2426 0.2721  6 Au 2.82-2.85
4 In 0.5000 0.5000 0.5000  8 Au 2.94-2.97
5 Au 0.3902 0.3902 0.8295  3 Mg 2.85, 1 In 2.94, 3 Pm 3.10
6 Au 0.8795 0.8795 0.3616  3 Mg 2.82, 3 In 2.97
7 Au 0.1205 0.1205 0.6384  3 Mg 2.82, 3 In 2.97
8 Au 0.6098 0.6098 0.1705  3 Mg 2.85, 1 In 2.94, 3 Pm 3.10



No. 7
## Sm8DyEr6 (PBE)

Data for a relaxed Sm8DyEr6 crystal.

Output
Calculated total energy (eV per atom): -4.467
Magnetization (μB per atom): 0.0000
Energy of formation (kJ/mol of atoms): 18
Symmetry: No. 147

Lattice parameters (Å, degrees): 6.4705 9.3809 9.3809 120.00 90.00 90.00
Last column: nearest neighbours and their distance in Å.
Fractional positions:
1 Sm 0.8308 0.0368 0.2847  3 Sm 3.27-3.34, 4 Er 3.30-3.54, 1 Dy 3.30
2 Sm 0.8308 0.7153 0.7521  3 Sm 3.27-3.34, 4 Er 3.30-3.54, 1 Dy 3.30
3 Sm 0.8308 0.2479 0.9632  3 Sm 3.27-3.34, 4 Er 3.30-3.54, 1 Dy 3.30
4 Sm 0.1692 0.9632 0.7153  3 Sm 3.27-3.34, 4 Er 3.30-3.54, 1 Dy 3.30
5 Sm 0.1692 0.2847 0.2479  3 Sm 3.27-3.34, 4 Er 3.30-3.54, 1 Dy 3.30
6 Sm 0.1692 0.7521 0.0368  3 Sm 3.27-3.34, 4 Er 3.30-3.54, 1 Dy 3.30
7 Sm 0.8736 0.3333 0.6667  3 Sm 3.27
8 Sm 0.1264 0.6667 0.3333  3 Sm 3.27
9 Dy 0.5000 0.0000 0.0000  6 Sm 3.30
10 Er 0.6624 0.6537 0.0944  1 Er 3.28, 4 Sm 3.30-3.54
11 Er 0.6624 0.9056 0.5593  1 Er 3.28, 4 Sm 3.30-3.54
12 Er 0.6624 0.4407 0.3463  1 Er 3.28, 4 Sm 3.30-3.54
13 Er 0.3376 0.3463 0.9056  1 Er 3.28, 4 Sm 3.30-3.54
14 Er 0.3376 0.0944 0.4407  1 Er 3.28, 4 Sm 3.30-3.54
15 Er 0.3376 0.5593 0.6537  1 Er 3.28, 4 Sm 3.30-3.54



No. 8
## Pu2PaZn2Si2 (PBE)

Data for a relaxed Pu2PaZn2Si2 crystal.

Output
Formation energy (no corrections) (eV per formula unit): -1.2
Calculated total energy (eV per atom): -7.535
Magnetization (μB per atom): 0.0000
Symmetry: No. 166

Lattice parameters (Å, degrees): 3.9910 3.9910 9.3014 77.61 77.61 60.00
Last column: nearest neighbours and their distance in Å.
Fractional positions:
1 Pu 0.1502 0.1502 0.5495  3 Pu 2.47
2 Pu 0.8498 0.8498 0.4505  3 Pu 2.47
3 Pa 0.0000 0.0000 0.0000  6 Zn 3.03, 6 Si 3.08
4 Zn 0.5941 0.5941 0.2178  3 Si 2.31
5 Zn 0.4059 0.4059 0.7822  3 Si 2.31
6 Si 0.7423 0.7423 0.7731  3 Zn 2.31
7 Si 0.2577 0.2577 0.2269  3 Zn 2.31



No. 9
## LiPr2Zn3Ni12 (PBE)

Data for a relaxed LiPr2Zn3Ni12 crystal.

Output
Calculated total energy (eV per atom): -4.561
Magnetization (μB per atom): 0.0000
Energy of formation (kJ/mol of atoms): 14
Symmetry: No. 166

Lattice parameters (Å, degrees): 9.1380 9.1380 9.1380 38.89 38.89 38.89
Last column: nearest neighbours and their distance in Å.
Fractional positions:
1 Li 0.0000 0.0000 0.0000  6 Ni 2.29
2 Pr 0.6601 0.6601 0.6601  6 Ni 2.88-3.02
3 Pr 0.3399 0.3399 0.3399  6 Ni 2.88-3.02
4 Zn 0.5000 0.0000 0.0000  6 Ni 2.40-2.44
5 Zn 0.0000 0.5000 0.0000  6 Ni 2.40-2.44
6 Zn 0.0000 0.0000 0.5000  6 Ni 2.40-2.44
7 Ni 0.4242 0.4242 0.8126  4 Ni 2.36-2.37, 2 Zn 2.40
8 Ni 0.9371 0.9371 0.3397  1 Li 2.29, 4 Ni 2.37-2.45, 1 Zn 2.44
9 Ni 0.3397 0.9371 0.9371  1 Li 2.29, 4 Ni 2.37-2.45, 1 Zn 2.44
10 Ni 0.8126 0.4242 0.4242  4 Ni 2.36-2.37, 2 Zn 2.40
11 Ni 0.9371 0.3397 0.9371  1 Li 2.29, 4 Ni 2.37-2.45, 1 Zn 2.44
12 Ni 0.4242 0.8126 0.4242  4 Ni 2.36-2.37, 2 Zn 2.40
13 Ni 0.5758 0.5758 0.1874  4 Ni 2.36-2.37, 2 Zn 2.40
14 Ni 0.0629 0.0629 0.6603  1 Li 2.29, 4 Ni 2.37-2.45, 1 Zn 2.44
15 Ni 0.6603 0.0629 0.0629  1 Li 2.29, 4 Ni 2.37-2.45, 1 Zn 2.44
16 Ni 0.1874 0.5758 0.5758  4 Ni 2.36-2.37, 2 Zn 2.40
17 Ni 0.0629 0.6603 0.0629  1 Li 2.29, 4 Ni 2.37-2.45, 1 Zn 2.44
18 Ni 0.5758 0.1874 0.5758  4 Ni 2.36-2.37, 2 Zn 2.40



No. 10
## ReSb3Br (PBE)

Data for a relaxed ReSb3Br crystal.

Output
Formation energy (no corrections) (eV per formula unit): 9.6
Calculated total energy (eV per atom): -3.376
Magnetization (μB per atom): 0.5992
Symmetry: No. 221

Lattice parameters (Å, degrees): 5.3768 5.3768 5.3768 90.00 90.00 90.00
Last column: nearest neighbours and their distance in Å.
Fractional positions:
1 Re 0.5000 0.5000 0.5000  12 Sb 3.80
2 Br 0.0000 0.0000 0.0000  6 Sb 2.69
3 Sb 0.0000 0.5000 0.0000  2 Br 2.69
4 Sb 0.0000 0.0000 0.5000  2 Br 2.69
5 Sb 0.5000 0.0000 0.0000  2 Br 2.69



No. 11
## NaPr2UO6 (PBE)

Data for a relaxed NaPr2UO6 crystal.

Output
Formation energy (no corrections) (eV per formula unit): -30.7
Calculated total energy (eV per atom): -8.257
Magnetization (μB per atom): 0.1000
Symmetry: No. 146

Lattice parameters (Å, degrees): 6.0471 6.0471 6.2277 60.96 60.96 60.00
Last column: nearest neighbours and their distance in Å.
Fractional positions:
1 Na 0.8038 0.8038 0.5886  6 O 2.43-2.61
2 Pr 0.5324 0.5324 0.4029  6 O 2.38-2.52
3 Pr 0.0254 0.0254 0.9239  6 O 2.36-2.51
4 U 0.3169 0.3169 0.0493  6 O 2.16-2.17
5 O 0.5900 0.2151 0.2414  1 U 2.17, 1 Pr 2.38
6 O 0.2151 0.9536 0.2414  1 U 2.17, 1 Pr 2.38
7 O 0.9536 0.5900 0.2414  1 U 2.17, 1 Pr 2.38
8 O 0.4078 0.6784 0.7755  1 U 2.16, 1 Pr 2.36
9 O 0.6784 0.1384 0.7755  1 U 2.16, 1 Pr 2.36
10 O 0.1384 0.4078 0.7755  1 U 2.16, 1 Pr 2.36



No. 12
## Nd3HgP (PBE)

Data for a relaxed Nd3HgP crystal.

Output
Calculated total energy (eV per atom): -4.782
Magnetization (μB per atom): 0.0000
Energy of formation (kJ/mol of atoms): -75
Symmetry: No. 62

Lattice parameters (Å, degrees): 4.0637 9.1538 15.9687 90.00 90.00 90.00
Last column: nearest neighbours and their distance in Å.
Fractional positions:
1 Nd 0.7500 0.1721 0.2986  1 P 2.80
2 Nd 0.2500 0.6587 0.9667  2 P 2.85
3 Nd 0.2500 0.0173 0.1059  3 P 2.85-2.87
4 Nd 0.2500 0.5173 0.3941  3 P 2.85-2.87
5 Nd 0.2500 0.1587 0.5333  2 P 2.85
6 Nd 0.7500 0.4827 0.6059  3 P 2.85-2.87
7 Nd 0.2500 0.3279 0.7986  1 P 2.80
8 Nd 0.7500 0.9827 0.8941  3 P 2.85-2.87
9 Nd 0.7500 0.3413 0.0333  2 P 2.85
10 Nd 0.7500 0.6721 0.2014  1 P 2.80
11 Nd 0.7500 0.8413 0.4667  2 P 2.85
12 Nd 0.2500 0.8279 0.7014  1 P 2.80
13 Hg 0.2500 0.8875 0.3094  8 Nd 3.26-3.65
14 Hg 0.7500 0.1125 0.6906  8 Nd 3.26-3.65
15 Hg 0.7500 0.6125 0.8094  8 Nd 3.26-3.65
16 Hg 0.2500 0.3875 0.1906  8 Nd 3.26-3.65
17 P 0.2500 0.6764 0.5489  6 Nd 2.80-2.87
18 P 0.7500 0.3236 0.4511  6 Nd 2.80-2.87
19 P 0.7500 0.8236 0.0489  6 Nd 2.80-2.87
20 P 0.2500 0.1764 0.9511  6 Nd 2.80-2.87